Density functional theory data (PBE) for a relaxed NaAcBi crystal.

abc: 4.5256 4.5256 6.0689
angles: 111.89 111.89 90.00
Sites, in units of the cell vectors:
Bi1 0.6738 0.6738 0.3475
Ac1 0.3236 0.3236 0.6472
Na1 0.0026 0.0026 0.0053

Computed properties:
The calculation puts the uncorrected energy at -10.33 eV per cell. As for the energy of formation: -0.3394 eV per atom. The energy above the most stable polymorph in this dataset comes out at 0.110 eV per atom. The volume comes out at 105.6 Å³ per cell.